VASP calculation (PBE with a Hubbard U) on a relaxed structure of Ni3HgO.

Values from the calculation:
Total moment in μB per cell: 4.4
DOS at the Fermi energy in states/eV/f.u.: 4.92
ΔE to the lowest computed polymorph in meV per atom: 1723
Uncorrected energy in eV/atom: -0.808
Calculated volume in A^3/atom: 24.16

a = 4.943 Å, b = 4.943 Å, c = 4.943 Å
α = 90.00°, β = 90.00°, γ = 90.00°
Space group Pm-3m (No. 221)
Asymmetric unit:
1 Ni 0.000 0.000 0.500 [3 per cell]
2 Hg 0.000 0.000 0.000 [1 per cell]
3 O 0.500 0.500 0.500 [1 per cell]